1.
La8Tc2Pd: optimized geometry, PBE-GGA.

extended XYZ file:
```
11
Lattice="-3.8658 0.0406 -5.0343 2.7654 -7.4712 -0.3794 -5.2273 1.5135 5.8306" Properties=species:S:1:pos:R:3 pbc="T T T"
La -1.6881 -2.4478 -2.5134
La -3.7920 -0.0827 -0.8787
La -1.6203 -2.1468 1.0205
La -7.2133 -0.2491 -0.5410
La -2.6704 -5.3559 -4.0707
La -4.6600 -3.7683 -0.5457
La -2.3256 -5.7999 1.5010
La -4.4377 -3.4257 3.1420
Tc -1.7562 -5.0286 -0.8377
Tc -4.9281 -1.4630 1.6268
Pd -2.9567 -5.9375 4.7851
```

Output
The density is 6.88 Mg/m³. The final energy comes out at -6.044 eV/atom. The value obtained for the spin magnetization is 0.00 μB/f.u. As for the symmetry: Cm.

2.
Ca3Er2ThTe6: optimized geometry, PBE-GGA.

extended XYZ file:
```
12
Lattice="4.3664 0.0000 0.0000 0.0000 8.9757 0.1679 -2.1832 -2.7464 9.3677" Properties=species:S:1:pos:R:3 pbc="T T T"
Ca 2.1832 4.4879 0.0839
Ca 2.1832 -0.2942 6.3234
Ca 0.0000 6.5235 3.2122
Er 2.1832 4.2580 6.4829
Er 0.0000 1.9713 3.0527
Th 2.1832 0.0000 0.0000
Te 0.0000 6.4065 6.3320
Te 2.1832 4.1882 3.3141
Te 2.1832 -0.1771 3.2037
Te 0.0000 2.3126 0.0459
Te 2.1832 3.9167 9.4897
Te 0.0000 2.0412 6.2215
```

Output
Its raw formation energy is -1.3637 eV/atom. The density is 6.53 Mg/m³. The value obtained for the spin magnetization is 0.00 μB/f.u. As for the symmetry: C2/m.

3.
AcTl6Cd: optimized geometry, PBE-GGA.

extended XYZ file:
```
8
Lattice="-2.1723 3.7700 1.3283 -1.7489 -3.2255 6.2947 6.0905 2.3760 3.2166" Properties=species:S:1:pos:R:3 pbc="T T T"
Ac -1.0861 1.8850 0.6641
Tl 0.3854 -1.7005 5.4567
Tl 3.9561 0.8510 4.0546
Tl 3.1921 -0.6246 6.9932
Tl 1.1494 -0.2249 2.5181
Tl -1.9606 0.2722 3.8115
Tl 1.9591 3.0730 2.2724
Cd 1.0846 1.4603 5.4198
```

Output
The density is 10.77 Mg/m³. The final energy comes out at -2.487 eV/atom. The value obtained for the spin magnetization is 0.00 μB/f.u. As for the symmetry: Cmmm.

4.
NaAcHgPb: optimized geometry, PBE-GGA.

extended XYZ file:
```
4
Lattice="5.6164 0.0000 0.0000 2.8082 4.8639 0.0000 2.8082 1.6213 4.5857" Properties=species:S:1:pos:R:3 pbc="T T T"
Pb 2.8082 1.6213 1.1464
Na 0.0000 0.0000 0.0000
Ac 5.6164 3.2426 2.2929
Hg 8.4245 4.8639 3.4393
```

Output
The density is 8.72 Mg/m³. The final energy comes out at -2.792 eV/atom. The value obtained for the spin magnetization is 0.00 μB/f.u. As for the symmetry: F-43m.

5.
PmMg3Hg: optimized geometry, PBE-GGA.

extended XYZ file:
```
10
Lattice="-3.3706 -2.5496 1.2200 4.5026 -6.0172 -0.1351 3.0868 -0.5750 7.3265" Properties=species:S:1:pos:R:3 pbc="T T T"
Pm 1.7963 -4.2373 2.1505
Pm -0.5228 -3.5049 5.2040
Mg 1.5439 -6.4718 4.7137
Mg -0.2723 -1.2706 2.6353
Mg 2.7932 -6.8046 7.4697
Mg -1.6361 -3.8286 1.4512
Mg 2.9125 -3.9121 5.9131
Mg 1.5643 -1.5105 7.2079
Hg 4.4327 -6.2926 5.1391
Hg 1.3415 -7.4658 2.0776
```

Output
The energy relative to the lowest polymorph listed for this composition is 4 meV/atom. The density is 5.48 Mg/m³. The value obtained for the spin magnetization is 0.00 μB/f.u. As for the symmetry: Pm.

6.
LaHf2Ni9: optimized geometry, PBE-GGA.

extended XYZ file:
```
12
Lattice="4.7229 0.0000 1.4056 2.1523 4.2040 1.4056 0.0546 0.0334 8.4539" Properties=species:S:1:pos:R:3 pbc="T T T"
La 0.0000 0.0000 0.0000
Hf 5.9249 3.6229 6.0045
Hf 1.0050 0.6145 5.2607
Ni 4.5829 2.8023 1.8763
Ni 2.3470 1.4351 9.3889
Ni 3.4649 2.1187 5.6326
Ni 2.8325 1.7320 3.3666
Ni 5.2334 1.7320 4.0812
Ni 3.9266 3.8691 4.0812
Ni 4.0973 2.5054 7.8985
Ni 3.0032 0.3683 7.1840
Ni 1.6964 2.5054 7.1840
```

Output
The density is 10.16 Mg/m³. The final energy comes out at -6.825 eV/atom. The value obtained for the spin magnetization is 0.00 μB/f.u. As for the symmetry: R-3m.

7.
SmV4: optimized geometry, PBE-GGA.

extended XYZ file:
```
5
Lattice="4.6875 0.0000 0.0000 0.0000 4.6875 0.0000 0.0000 0.0000 4.6875" Properties=species:S:1:pos:R:3 pbc="T T T"
Sm 2.3438 2.3438 2.3438
V 0.0000 0.0000 0.0000
V 2.3438 0.0000 2.3438
V 0.0000 2.3438 2.3438
V 2.3438 2.3438 0.0000
```

Output
The density is 5.71 Mg/m³. The final energy comes out at -6.171 eV/atom. The value obtained for the spin magnetization is 1.24 μB/f.u. As for the symmetry: Pm-3m.

8.
TmAlTlTe3: optimized geometry, PBE-GGA.

extended XYZ file:
```
12
Lattice="-2.1407 4.0136 0.1814 -7.4327 -4.1229 3.5076 6.4725 3.1119 7.5285" Properties=species:S:1:pos:R:3 pbc="T T T"
Tm -4.6725 -1.3574 3.4559
Tm 1.5716 4.3600 7.7617
Al 2.7068 2.5046 5.0874
Al -5.8077 0.4980 6.1301
Tl -0.5625 0.8739 2.5886
Tl -2.5384 2.1288 8.6289
Te -7.5372 -0.3376 4.2099
Te 4.4363 3.3403 7.0076
Te -3.3910 -0.8050 6.3561
Te 0.2901 3.8077 4.8615
Te -3.9864 1.6076 3.0724
Te 0.8855 1.3950 8.1452
```

Output
Its raw formation energy is -0.6817 eV/atom. The density is 6.40 Mg/m³. The value obtained for the spin magnetization is 0.00 μB/f.u. As for the symmetry: P2_1/m.

9.
Sr2MoSe: optimized geometry, PBE-GGA.

extended XYZ file:
```
4
Lattice="-1.7424 -1.5793 -3.0648 3.4395 -1.0347 -1.4222 2.9609 -7.7842 2.3278" Properties=species:S:1:pos:R:3 pbc="T T T"
Mo 0.7289 -2.9944 -1.3060
Se 3.9291 -7.4038 -0.8532
Sr 2.9669 -7.6683 2.2647
Sr 3.1942 -4.5254 0.5160
```

Output
Its raw formation energy is -0.0531 eV/atom. The density is 5.04 Mg/m³. The value obtained for the spin magnetization is 3.76 μB/f.u. As for the symmetry: P4/mmm.

10.
AcTl2Rh: optimized geometry, PBE-GGA.

extended XYZ file:
```
4
Lattice="4.6954 0.0000 0.0000 2.3477 4.0664 0.0000 2.3477 1.3555 5.7336" Properties=species:S:1:pos:R:3 pbc="T T T"
Ac 4.6954 2.7109 2.8668
Rh 0.0000 0.0000 0.0000
Tl 2.3477 1.3555 0.8905
Tl 7.0431 4.0664 4.8432
```

Output
The energy relative to the lowest polymorph listed for this composition is 200 meV/atom. The density is 11.20 Mg/m³. The value obtained for the spin magnetization is 0.00 μB/f.u. As for the symmetry: R-3m.

11.
ZrTa2Ag: optimized geometry, PBE-GGA.

extended XYZ file:
```
4
Lattice="-2.1990 2.5767 -4.3210 -2.7765 -4.3608 1.8495 -1.4709 1.6785 1.7495" Properties=species:S:1:pos:R:3 pbc="T T T"
Ag -2.1237 -1.3411 1.7995
Ta 0.0000 0.0000 0.0000
Ta -2.4877 -0.8920 -1.2358
Zr -1.8349 2.1276 -1.2858
```

Output
The energy relative to the lowest polymorph listed for this composition is 234 meV/atom. The density is 12.10 Mg/m³. The value obtained for the spin magnetization is 0.00 μB/f.u. As for the symmetry: Cmmm.

12.
ZrCrSi2: optimized geometry, PBE-GGA.

extended XYZ file:
```
4
Lattice="-2.0126 2.0629 -3.6634 -2.4726 -3.8808 0.7435 -2.1845 1.3618 1.6086" Properties=species:S:1:pos:R:3 pbc="T T T"
Cr -2.3286 -1.2595 1.1761
Si 0.0000 0.0000 0.0000
Si -2.2426 -0.9089 -1.4600
Zr -2.0986 1.7123 -1.0274
```

Output
Its raw formation energy is -0.1218 eV/atom. The energy relative to the lowest polymorph listed for this composition is 506 meV/atom. The density is 5.27 Mg/m³. The value obtained for the spin magnetization is 2.00 μB/f.u. As for the symmetry: C2/m.

13.
MnZn4Se5: optimized geometry, PBE-GGA.

extended XYZ file:
```
10
Lattice="7.0580 0.0000 -0.0024 5.8816 3.9016 -0.0024 4.6993 1.4169 8.7007" Properties=species:S:1:pos:R:3 pbc="T T T"
Mn 4.7061 1.4190 8.6910
Zn 10.5760 3.1889 5.1841
Zn 3.5199 1.0613 1.7512
Zn 14.1283 4.2600 6.9485
Zn 7.0480 2.1251 3.5101
Se 12.9304 3.8988 4.7980
Se 5.8658 1.7687 1.3548
Se 3.5240 1.0626 6.4825
Se 9.3875 2.8305 3.0323
Se 7.0934 2.1388 8.2572
```

Output
Its raw formation energy is -0.6488 eV/atom. The energy relative to the lowest polymorph listed for this composition is 0 meV/atom. The density is 4.93 Mg/m³. The value obtained for the spin magnetization is 5.00 μB/f.u. As for the symmetry: Cm.

14.
MnAsP2S: optimized geometry, PBE-GGA.

extended XYZ file:
```
5
Lattice="4.6835 0.0000 0.0000 0.0000 4.6835 0.0000 0.0000 0.0000 4.7812" Properties=species:S:1:pos:R:3 pbc="T T T"
P 0.0000 2.3418 0.0000
P 2.3418 0.0000 0.0000
As 0.0000 0.0000 0.0000
Mn 2.3418 2.3418 2.3906
S 0.0000 0.0000 2.3906
```

Output
Its raw formation energy is 0.9409 eV/atom. The energy relative to the lowest polymorph listed for this composition is 424 meV/atom. The density is 3.54 Mg/m³. The value obtained for the spin magnetization is 3.88 μB/f.u. As for the symmetry: P4/mmm.

15.
NaBPd2: optimized geometry, PBE-GGA.

extended XYZ file:
```
8
Lattice="-1.1371 -1.7942 5.2581 2.1145 -5.1030 -1.2840 5.2256 -1.8783 3.5472" Properties=species:S:1:pos:R:3 pbc="T T T"
Na 0.0000 0.0000 0.0000
Na 2.2886 -3.5605 5.3962
B 0.4887 -3.4486 1.9871
B 3.9144 -5.2149 2.1252
Pd 1.0499 -1.9292 3.1346
Pd 2.2960 -4.1828 1.6197
Pd 4.6388 -4.8473 3.9363
Pd 4.4214 -6.5916 6.3522
```

Output
The density is 4.87 Mg/m³. The final energy comes out at -4.404 eV/atom. The value obtained for the spin magnetization is 0.00 μB/f.u. As for the symmetry: I-42d.

16.
AcPmP2O8: optimized geometry, PBE-GGA.

extended XYZ file:
```
12
Lattice="6.0647 -0.0226 0.0000 -2.7101 5.4255 0.0000 -1.6773 -2.7015 5.1643" Properties=species:S:1:pos:R:3 pbc="T T T"
Ac -1.3550 2.7128 2.5821
Pm 0.0000 0.0000 0.0000
P 3.0324 -0.0113 2.5821
P 1.6773 2.7015 0.0000
O 1.7870 -0.3324 1.6935
O 0.4343 2.3165 0.8530
O 0.2063 -1.2849 4.3113
O 3.2969 -1.2699 3.4708
O 2.9204 3.0865 0.8530
O 4.2777 0.3098 1.6935
O 2.7678 1.2473 3.4708
O -0.2063 1.2848 4.3113
```

Output
Its raw formation energy is -2.9808 eV/atom. The density is 5.50 Mg/m³. The value obtained for the spin magnetization is 0.00 μB/f.u. As for the symmetry: I-4m2.

17.
TaIn2F: optimized geometry, PBE-GGA.

extended XYZ file:
```
8
Lattice="-3.7763 1.9855 -5.4423 0.4810 -6.3666 -2.6564 -4.4527 -3.0793 -2.4273" Properties=species:S:1:pos:R:3 pbc="T T T"
F -1.6476 -2.1906 -4.0494
F -2.8097 -5.8182 -4.5665
In -3.2086 -0.4323 -4.0454
In -1.4892 -4.3932 -3.2423
In -4.5492 -4.2974 -5.0014
In -6.2490 -5.7980 -8.7629
Ta 0.0000 0.0000 0.0000
Ta -4.9383 -1.6422 -5.9595
```

Output
Its raw formation energy is -0.0563 eV/atom. The energy relative to the lowest polymorph listed for this composition is 0 meV/atom. The density is 8.88 Mg/m³. The value obtained for the spin magnetization is 0.00 μB/f.u. As for the symmetry: I-42d.

18.
CsBaIO2: optimized geometry, PBE-GGA.

extended XYZ file:
```
5
Lattice="-3.8746 1.0088 -2.7702 2.6965 -0.6367 -4.0035 -1.6246 -6.4346 -0.0709" Properties=species:S:1:pos:R:3 pbc="T T T"
Cs 0.0000 0.0000 0.0000
I -0.8123 -3.2173 -0.0354
Ba -1.4014 -3.0313 -3.4223
O 1.3483 -0.3184 -2.0017
O -1.9373 0.5044 -1.3851
```

Output
Its raw formation energy is -0.5527 eV/atom. The energy relative to the lowest polymorph listed for this composition is 570 meV/atom. The density is 4.53 Mg/m³. The value obtained for the spin magnetization is 0.00 μB/f.u. As for the symmetry: P4/mmm.

19.
KPd2Rh2: optimized geometry, PBE-GGA.

extended XYZ file:
```
5
Lattice="-2.9407 -1.7651 1.9471 2.0269 -3.3832 -0.0056 2.2007 -0.9910 6.4196" Properties=species:S:1:pos:R:3 pbc="T T T"
K 0.0000 0.0000 0.0000
Rh -0.5984 -2.6651 4.6687
Rh 1.8854 -3.4741 3.6924
Pd 0.1161 -2.2328 2.1455
Pd 1.1708 -3.9064 6.2156
```

Output
The energy relative to the lowest polymorph listed for this composition is 246 meV/atom. The density is 7.80 Mg/m³. The value obtained for the spin magnetization is 1.73 μB/f.u. As for the symmetry: I4/mmm.

20.
PmPuBiI: optimized geometry, PBE-GGA.

extended XYZ file:
```
4
Lattice="-3.0405 3.6467 -2.8678 -2.5640 -1.5818 -4.6574 -5.5260 -0.4688 -0.1017" Properties=species:S:1:pos:R:3 pbc="T T T"
I 0.0000 0.0000 0.0000
Pm -2.7826 0.3990 -1.9067
Bi -5.5652 0.7980 -3.8134
Pu -8.3478 1.1970 -5.7202
```

Output
Its raw formation energy is -0.6427 eV/atom. The density is 9.97 Mg/m³. The value obtained for the spin magnetization is 6.87 μB/f.u. As for the symmetry: F-43m.

21.
NpMn2Ni9: optimized geometry, PBE-GGA.

extended XYZ file:
```
12
Lattice="-2.8301 -3.5249 1.5714 1.7905 -3.4318 2.8143 -2.1210 1.9057 7.7425" Properties=species:S:1:pos:R:3 pbc="T T T"
Np 0.0000 0.0000 0.0000
Mn -1.8159 -5.1082 7.1338
Mn -1.3446 0.0573 4.9944
Ni -0.6968 -4.6288 2.9371
Ni -2.4637 -0.4221 9.1911
Ni -1.5803 -2.5255 6.0641
Ni -0.9766 -2.3705 3.8083
Ni -2.4098 -4.1556 4.6041
Ni -0.0698 -4.1084 5.2335
Ni -2.1839 -2.6804 8.3199
Ni -3.0907 -0.9425 6.8947
Ni -0.7507 -0.8954 7.5241
```

Output
The density is 9.42 Mg/m³. The final energy comes out at -7.015 eV/atom. The value obtained for the spin magnetization is 8.49 μB/f.u. As for the symmetry: R-3m.

22.
Ag2AsP: optimized geometry, PBE-GGA.

extended XYZ file:
```
4
Lattice="4.1228 0.0000 0.0000 0.0000 4.1237 0.0000 0.0000 0.0000 4.2196" Properties=species:S:1:pos:R:3 pbc="T T T"
Ag 0.0000 0.0000 0.0000
Ag 2.0614 2.0619 0.0000
As 2.0614 0.0000 2.1098
P 0.0000 2.0619 2.1098
```

Output
The energy relative to the lowest polymorph listed for this composition is 152 meV/atom. The density is 7.44 Mg/m³. The value obtained for the spin magnetization is 0.00 μB/f.u. As for the symmetry: P4/mmm.

23.
RuAu5: optimized geometry, PBE-GGA.

extended XYZ file:
```
6
Lattice="2.9004 -0.0346 7.1532 -5.0535 1.1837 -5.7134 -1.8658 -4.4174 0.7352" Properties=species:S:1:pos:R:3 pbc="T T T"
Ru -5.0884 -1.1626 -3.8930
Au -5.0423 1.1820 -5.6952
Au -2.3952 0.7765 -1.4132
Au 0.2205 0.3759 2.8182
Au -2.4213 -1.5711 0.4214
Au 0.1658 -1.9674 4.6064
```

Output
The energy relative to the lowest polymorph listed for this composition is 7 meV/atom. The density is 17.29 Mg/m³. The value obtained for the spin magnetization is 0.41 μB/f.u. As for the symmetry: Amm2.

24.
Zr2HgSe: optimized geometry, PBE-GGA.

extended XYZ file:
```
4
Lattice="5.8111 0.0002 0.0000 2.8879 5.0427 0.0000 -4.3495 -2.5215 2.9143" Properties=species:S:1:pos:R:3 pbc="T T T"
Hg 4.3495 2.5215 0.0000
Se 2.9056 0.0001 1.4571
Zr 0.0000 0.0000 0.0000
Zr 1.4440 2.5214 1.4571
```

Output
Its raw formation energy is -0.2674 eV/atom. The energy relative to the lowest polymorph listed for this composition is 323 meV/atom. The density is 8.98 Mg/m³. The value obtained for the spin magnetization is 0.00 μB/f.u. As for the symmetry: I-4m2.

25.
V4HPt2: optimized geometry, PBE-GGA.

extended XYZ file:
```
7
Lattice="3.6566 0.0000 0.0000 0.0000 3.6566 0.0000 1.8283 1.8283 6.8994" Properties=species:S:1:pos:R:3 pbc="T T T"
H 0.0000 0.0000 0.0000
Pt 1.8283 1.8283 1.9951
Pt 3.6566 3.6566 4.9043
V 1.8283 1.8283 4.4468
V 3.6566 3.6566 2.4526
V 0.0000 1.8283 0.0000
V 1.8283 0.0000 0.0000
```

Output
The density is 10.71 Mg/m³. The final energy comes out at -7.585 eV/atom. The value obtained for the spin magnetization is 0.00 μB/f.u. As for the symmetry: I4/mmm.

26.
NiRuC2: optimized geometry, PBE-GGA.

extended XYZ file:
```
8
Lattice="4.4615 0.0000 0.0000 0.0000 4.4615 0.0000 2.2308 2.2308 4.4630" Properties=species:S:1:pos:R:3 pbc="T T T"
Ru 0.0000 0.0000 0.0000
Ru 4.4615 2.2308 2.2315
C 3.3207 1.1154 1.1157
C 1.1408 3.3462 1.1157
C 3.3462 3.3716 3.3472
C 5.5769 5.5515 3.3472
Ni 2.2308 2.2308 0.0000
Ni 2.2308 4.4615 2.2315
```

Output
The energy relative to the lowest polymorph listed for this composition is 0 meV/atom. The density is 6.87 Mg/m³. The value obtained for the spin magnetization is 0.00 μB/f.u. As for the symmetry: I-42d.